Entry 1:
## CoTcBi2B (SCAN)

Data for CoTcBi2B at its PBEsol-relaxed geometry.

Raw total energy   -41.644 eV per atom
Magnetization   1.8 μB per cell
Formation enthalpy at 0 K   1.7471 eV per atom
Density of states at the Fermi level   0.98 states/eV per atom

Cell and atoms, written as POSCAR:
```
CoTcBi2B
1.0
4.393 0.000 0.000
0.000 5.155 0.000
0.000 0.000 5.155
Bi Co Tc B
2 1 1 1
Direct
0.000 0.000 0.500
0.000 0.500 0.000
0.500 0.000 0.000
0.000 0.000 0.000
0.500 0.500 0.500
```

Entry 2:
## CrBiB2 (SCAN)

Data for CrBiB2 at its PBEsol-relaxed geometry.

Raw total energy   -26.838 eV per atom
Magnetization   0.0 μB per cell
Formation enthalpy at 0 K   1.1182 eV per atom
Density of states at the Fermi level   0.47 states/eV per atom

Cell and atoms, written as POSCAR:
```
CrBiB2
1.0
-2.228 4.509 -0.074
-4.361 -2.175 -1.246
2.143 -1.656 5.540
Bi Cr B
2 2 4
Direct
0.250 0.750 0.500
0.000 0.000 0.000
0.750 0.250 0.500
0.500 0.500 0.000
0.454 0.875 0.250
0.625 0.546 0.750
0.125 0.204 0.750
0.796 0.375 0.250
```

Entry 3:
## CrGeBi2B (SCAN)

Data for CrGeBi2B at its PBEsol-relaxed geometry.

Raw total energy   -38.904 eV per atom
Magnetization   3.9 μB per cell
Formation enthalpy at 0 K   1.5081 eV per atom
Density of states at the Fermi level   0.60 states/eV per atom

Cell and atoms, written as POSCAR:
```
CrGeBi2B
1.0
-0.103 -3.253 3.262
4.723 -1.989 -1.835
2.703 3.302 3.378
Cr Bi Ge B
1 2 1 1
Direct
0.500 0.000 0.000
0.000 0.500 0.000
0.000 0.000 0.500
0.000 0.000 0.000
0.500 0.500 0.500
```